Record 1
SrMg2AlHg5 GGA-PBE optimized geometry; total magnetic moment = 0.00 μB/f.u.; raw total energy = -1.255 eV per atom; calculated formation energy = -130 meV per atom; ρ = 7.9 Mg/m³
1.0
5.040 0.000 0.000
0.000 6.598 0.000
-2.520 -3.299 7.354
Sr Mg Al Hg
1 2 1 5
direct
0.000 0.500 0.000 Sr
0.190 0.190 0.381 Mg
0.810 0.810 0.619 Mg
0.500 0.000 0.000 Al
0.651 0.889 0.301 Hg
0.349 0.111 0.699 Hg
0.349 0.588 0.699 Hg
0.651 0.412 0.301 Hg
0.000 0.000 0.000 Hg

=====

Record 2
SrMgAlHg2 GGA-PBE optimized geometry; total magnetic moment = 0.00 μB/f.u.; energy relative to the lowest polymorph listed for this composition = 351 meV/atom; raw total energy = -1.506 eV per atom; calculated formation energy = 18 meV per atom; ρ = 6.0 Mg/m³
1.0
5.332 0.000 0.000
0.000 5.262 0.000
0.000 0.000 5.332
Sr Mg Hg Al
1 1 2 1
direct
0.500 0.500 0.500 Sr
0.000 0.000 0.000 Mg
0.000 0.000 0.500 Hg
0.500 0.000 0.000 Hg
0.000 0.500 0.000 Al

=====

Record 3
Sr2MgAl4Hg3 GGA-PBE optimized geometry; total magnetic moment = 0.00 μB/f.u.; raw total energy = -2.338 eV per atom; calculated formation energy = -254 meV per atom; ρ = 6.3 Mg/m³
1.0
4.538 0.000 0.000
0.000 4.538 0.000
0.000 0.000 11.687
Sr Mg Al Hg
2 1 4 3
direct
0.500 0.000 0.246 Sr
0.000 0.500 0.754 Sr
0.500 0.500 0.500 Mg
0.500 0.500 0.000 Al
0.000 0.000 0.000 Al
0.500 0.000 0.640 Al
0.000 0.500 0.360 Al
0.000 0.000 0.500 Hg
0.500 0.000 0.866 Hg
0.000 0.500 0.134 Hg

=====

Record 4
Sr2MgAl3Hg4 GGA-PBE optimized geometry; total magnetic moment = 0.00 μB/f.u.; raw total energy = -2.038 eV per atom; calculated formation energy = -298 meV per atom; ρ = 7.3 Mg/m³
1.0
4.607 0.000 0.000
0.000 4.607 0.000
0.000 0.000 11.653
Sr Mg Al Hg
2 1 3 4
direct
0.500 0.000 0.243 Sr
0.000 0.500 0.757 Sr
0.500 0.500 0.500 Mg
0.000 0.000 0.500 Al
0.500 0.000 0.867 Al
0.000 0.500 0.133 Al
0.500 0.500 0.000 Hg
0.000 0.000 0.000 Hg
0.500 0.000 0.639 Hg
0.000 0.500 0.361 Hg

=====

Record 5
TbMgAlHg GGA-PBE optimized geometry; total magnetic moment = 0.00 μB/f.u.; raw total energy = -2.888 eV per atom; calculated formation energy = -321 meV per atom; ρ = 7.5 Mg/m³
1.0
-4.183 -0.067 2.811
-3.693 -3.264 -1.055
-0.896 -3.877 3.093
Mg Tb Hg Al
1 1 1 1
direct
0.000 0.000 0.000 Mg
0.500 0.500 0.500 Tb
0.250 0.250 0.250 Hg
0.750 0.750 0.750 Al

=====

Record 6
MgTiAl2Hg GGA-PBE optimized geometry; total magnetic moment = 2.80 μB/f.u.; raw total energy = -2.634 eV per atom; calculated formation energy = 821 meV per atom; ρ = 3.8 Mg/m³
1.0
-0.307 5.080 -0.395
-5.468 -0.293 0.487
0.429 0.420 5.070
Mg Al Hg Ti
1 2 1 1
direct
0.000 0.500 0.000 Mg
0.000 0.000 0.500 Al
0.500 0.000 0.000 Al
0.500 0.500 0.500 Hg
0.000 0.000 0.000 Ti

=====

Record 7
TmMgAlHg GGA-PBE optimized geometry; total magnetic moment = 0.00 μB/f.u.; raw total energy = -2.826 eV per atom; calculated formation energy = -299 meV per atom; ρ = 8.0 Mg/m³
1.0
4.987 0.000 0.000
2.494 4.319 0.000
2.494 1.440 4.072
Mg Tm Hg Al
1 1 1 1
direct
0.750 0.750 0.750 Mg
0.250 0.250 0.250 Tm
0.500 0.500 0.500 Hg
0.000 0.000 0.000 Al

=====

Record 8
MgAlZnHg GGA-PBE optimized geometry; total magnetic moment = 0.00 μB/f.u.; raw total energy = -1.703 eV per atom; calculated formation energy = 25 meV per atom; ρ = 6.9 Mg/m³
1.0
-1.374 4.483 -0.873
-2.945 2.223 3.022
1.622 3.565 2.722
Mg Zn Hg Al
1 1 1 1
direct
0.250 0.250 0.250 Mg
0.000 0.000 0.000 Zn
0.500 0.500 0.500 Hg
0.750 0.750 0.750 Al

=====

Record 9
MnAlHg GGA-PBE optimized geometry; total magnetic moment = 3.98 μB/f.u.; energy relative to the lowest polymorph listed for this composition = 185 meV/atom; raw total energy = -4.093 eV per atom; calculated formation energy = 311 meV per atom; ρ = 7.6 Mg/m³
1.0
-2.287 0.459 -3.762
-4.425 0.064 0.094
-2.177 3.766 -0.821
Mn Hg Al
1 1 1
direct
0.000 0.000 0.000 Mn
0.250 0.250 0.250 Hg
0.500 0.500 0.500 Al

=====

Record 10
MnAlHg GGA-PBE optimized geometry; total magnetic moment = 3.44 μB/f.u.; energy relative to the lowest polymorph listed for this composition = 93 meV/atom; raw total energy = -4.185 eV per atom; calculated formation energy = 220 meV per atom; ρ = 8.9 Mg/m³
1.0
4.517 0.000 0.000
-2.258 3.912 0.000
0.000 0.000 2.973
Mn Hg Al
1 1 1
direct
0.333 0.667 0.667 Mn
0.667 0.333 0.171 Hg
0.000 0.000 0.163 Al

=====

Record 11
MnAlHg2 GGA-PBE optimized geometry; total magnetic moment = 3.77 μB/f.u.; raw total energy = -3.065 eV per atom; calculated formation energy = 314 meV per atom; ρ = 10.1 Mg/m³
1.0
5.674 0.027 0.179
2.324 5.176 -0.179
-3.292 -3.687 2.791
Mn Hg Al
1 2 1
direct
0.750 0.250 0.500 Mn
0.996 0.996 0.000 Hg
0.504 0.504 0.000 Hg
0.250 0.750 0.500 Al

=====

Record 12
MnAl3Hg GGA-PBE optimized geometry; total magnetic moment = 1.48 μB/f.u.; energy relative to the lowest polymorph listed for this composition = 0 meV/atom; raw total energy = -3.833 eV per atom; calculated formation energy = 306 meV per atom; ρ = 5.5 Mg/m³
1.0
4.668 0.000 0.000
0.000 4.668 0.000
0.000 0.000 4.668
Mn Hg Al
1 1 3
direct
0.000 0.000 0.000 Mn
0.500 0.500 0.500 Hg
0.000 0.500 0.000 Al
0.000 0.000 0.500 Al
0.500 0.000 0.000 Al

=====

Record 13
MnAl2Hg GGA-PBE optimized geometry; total magnetic moment = 2.48 μB/f.u.; raw total energy = -4.117 eV per atom; calculated formation energy = 122 meV per atom; ρ = 7.8 Mg/m³
1.0
4.739 0.004 -0.008
3.809 2.820 -0.008
0.966 0.319 4.942
Mn Hg Al
1 1 2
direct
0.250 0.250 0.250 Mn
0.750 0.750 0.750 Hg
0.989 0.989 0.033 Al
0.511 0.511 0.467 Al

=====

Record 14
MnAlHg2 GGA-PBE optimized geometry; total magnetic moment = 3.80 μB/f.u.; raw total energy = -3.087 eV per atom; calculated formation energy = 292 meV per atom; ρ = 10.1 Mg/m³
1.0
-4.193 2.260 1.207
-1.371 -1.147 -2.615
-1.340 -4.029 2.888
Mn Hg Al
1 2 1
direct
0.500 0.250 0.250 Mn
0.000 0.980 0.006 Hg
0.000 0.520 0.494 Hg
0.500 0.750 0.750 Al

=====

Record 15
MnAl2Hg GGA-PBE optimized geometry; total magnetic moment = 3.88 μB/f.u.; raw total energy = -3.945 eV per atom; calculated formation energy = 294 meV per atom; ρ = 7.1 Mg/m³
1.0
-1.978 2.455 3.442
-4.367 1.580 -0.472
-3.448 -1.879 2.524
Mn Hg Al
1 1 2
direct
0.750 0.750 0.750 Mn
0.500 0.500 0.500 Hg
0.000 0.000 0.000 Al
0.250 0.250 0.250 Al

=====

Record 16
MnAl2Hg GGA-PBE optimized geometry; total magnetic moment = 2.42 μB/f.u.; raw total energy = -4.130 eV per atom; calculated formation energy = 109 meV per atom; ρ = 7.8 Mg/m³
1.0
-0.946 3.964 2.798
-3.474 3.299 1.219
-1.942 -1.829 3.880
Mn Hg Al
1 1 2
direct
0.259 0.259 0.193 Mn
0.505 0.505 0.521 Hg
0.992 0.992 0.043 Al
0.745 0.745 0.743 Al

=====

Record 17
MnAl2Hg GGA-PBE optimized geometry; total magnetic moment = 2.04 μB/f.u.; raw total energy = -4.290 eV per atom; calculated formation energy = -51 meV per atom; ρ = 7.5 Mg/m³
1.0
2.798 0.000 0.000
0.000 2.918 -0.110
0.000 0.343 8.349
Mn Hg Al
1 1 2
direct
0.500 0.750 0.750 Mn
0.500 0.250 0.250 Hg
0.000 0.248 0.943 Al
0.000 0.252 0.557 Al

=====

Record 18
MnAlHg2 GGA-PBE optimized geometry; total magnetic moment = 4.16 μB/f.u.; raw total energy = -3.005 eV per atom; calculated formation energy = 374 meV per atom; ρ = 10.1 Mg/m³
1.0
4.831 0.000 0.000
2.415 4.183 0.000
2.415 1.394 3.944
Mn Hg Al
1 2 1
direct
0.750 0.750 0.750 Mn
0.000 0.000 0.000 Hg
0.250 0.250 0.250 Hg
0.500 0.500 0.500 Al

=====

Record 19
MnAl2Hg GGA-PBE optimized geometry; total magnetic moment = 2.66 μB/f.u.; raw total energy = -4.145 eV per atom; calculated formation energy = 94 meV per atom; ρ = 7.6 Mg/m³
1.0
9.050 -0.004 -0.002
8.565 2.924 -0.002
8.565 1.420 2.556
Mn Hg Al
1 1 2
direct
0.750 0.750 0.750 Mn
0.250 0.250 0.250 Hg
0.010 0.010 0.010 Al
0.490 0.490 0.490 Al

=====

Record 20
MnAlHg2 GGA-PBE optimized geometry; total magnetic moment = 4.01 μB/f.u.; raw total energy = -3.095 eV per atom; calculated formation energy = 284 meV per atom; ρ = 10.3 Mg/m³
1.0
3.064 0.611 0.000
-0.612 3.064 0.000
0.000 0.000 7.956
Mn Hg Al
1 2 1
direct
0.500 0.500 0.250 Mn
0.000 0.000 0.009 Hg
0.000 0.000 0.491 Hg
0.500 0.500 0.750 Al

=====

Record 21
MnAl2Hg GGA-PBE optimized geometry; total magnetic moment = 1.76 μB/f.u.; raw total energy = -4.113 eV per atom; calculated formation energy = 127 meV per atom; ρ = 8.1 Mg/m³
1.0
4.945 -0.011 -0.029
1.794 4.608 0.029
-3.353 -2.322 2.796
Mn Hg Al
1 1 2
direct
0.250 0.750 0.500 Mn
0.750 0.250 0.500 Hg
0.000 0.000 0.000 Al
0.500 0.500 0.000 Al

=====

Record 22
MnAl2Hg GGA-PBE optimized geometry; total magnetic moment = 3.13 μB/f.u.; raw total energy = -4.096 eV per atom; calculated formation energy = 143 meV per atom; ρ = 7.4 Mg/m³
1.0
9.201 0.022 0.013
8.711 2.962 0.013
8.711 1.451 2.582
Mn Hg Al
1 1 2
direct
0.744 0.744 0.744 Mn
0.496 0.496 0.496 Hg
0.005 0.005 0.005 Al
0.254 0.254 0.254 Al

=====

Record 23
MnAlHg2 GGA-PBE optimized geometry; total magnetic moment = 3.85 μB/f.u.; raw total energy = -3.107 eV per atom; calculated formation energy = 271 meV per atom; ρ = 10.2 Mg/m³
1.0
-5.685 -7.003 1.205
-3.527 -7.634 3.478
-5.917 -5.592 4.064
Mn Hg Al
1 2 1
direct
0.250 0.250 0.250 Mn
0.998 0.998 0.998 Hg
0.502 0.502 0.502 Hg
0.750 0.750 0.750 Al

=====

Record 24
MnAl2Hg GGA-PBE optimized geometry; total magnetic moment = 3.37 μB/f.u.; raw total energy = -4.118 eV per atom; calculated formation energy = 121 meV per atom; ρ = 7.5 Mg/m³
1.0
2.908 0.008 0.000
-0.008 2.908 0.000
0.000 0.000 8.148
Mn Hg Al
1 1 2
direct
0.500 0.500 0.776 Mn
0.000 0.000 0.515 Hg
0.000 0.000 0.980 Al
0.500 0.500 0.229 Al

=====

Record 25
MnAl2Hg GGA-PBE optimized geometry; total magnetic moment = 2.78 μB/f.u.; raw total energy = -4.107 eV per atom; calculated formation energy = 132 meV per atom; ρ = 7.7 Mg/m³
1.0
-3.619 1.259 -2.906
-1.802 -0.402 4.441
0.602 2.900 0.507
Mn Hg Al
1 1 2
direct
0.000 0.500 0.500 Mn
0.500 0.000 0.500 Hg
0.000 0.000 0.000 Al
0.500 0.500 0.000 Al

=====

Record 26
MnAlHg GGA-PBE optimized geometry; total magnetic moment = 3.20 μB/f.u.; energy relative to the lowest polymorph listed for this composition = 104 meV/atom; raw total energy = -4.174 eV per atom; calculated formation energy = 231 meV per atom; ρ = 8.9 Mg/m³
1.0
3.003 0.000 0.000
-1.502 2.601 0.000
0.000 0.000 6.751
Mn Hg Al
1 1 1
direct
0.333 0.667 0.683 Mn
0.667 0.333 0.343 Hg
0.000 0.000 0.974 Al

=====

Record 27
MnAlHg2 GGA-PBE optimized geometry; total magnetic moment = 3.33 μB/f.u.; raw total energy = -3.223 eV per atom; calculated formation energy = 156 meV per atom; ρ = 10.6 Mg/m³
1.0
3.025 0.010 0.000
-0.010 3.025 0.000
0.000 0.000 8.284
Mn Hg Al
1 2 1
direct
0.000 0.000 0.528 Mn
0.000 0.000 0.975 Hg
0.500 0.500 0.286 Hg
0.500 0.500 0.711 Al

=====

Record 28
MnAl2Hg GGA-PBE optimized geometry; total magnetic moment = 0.00 μB/f.u.; raw total energy = -3.675 eV per atom; calculated formation energy = 564 meV per atom; ρ = 7.3 Mg/m³
1.0
-5.366 2.638 -3.917
-2.351 -6.634 -1.248
-5.431 -1.863 -0.337
Mn Hg Al
2 2 4
direct
0.500 0.500 0.000 Mn
0.250 0.750 0.500 Mn
0.000 0.000 0.000 Hg
0.750 0.250 0.500 Hg
0.588 0.125 0.250 Al
0.162 0.625 0.250 Al
0.375 0.412 0.750 Al
0.875 0.838 0.750 Al

=====

Record 29
MnAlHg GGA-PBE optimized geometry; total magnetic moment = 3.19 μB/f.u.; energy relative to the lowest polymorph listed for this composition = 0 meV/atom; raw total energy = -4.278 eV per atom; calculated formation energy = 127 meV per atom; ρ = 9.2 Mg/m³
1.0
-2.165 -5.784 0.859
0.664 -5.971 1.669
-0.813 -0.027 2.835
Mn Hg Al
1 1 1
direct
0.652 0.652 0.348 Mn
0.329 0.329 0.671 Hg
0.019 0.019 0.981 Al

=====

Record 30
MnAl2Hg GGA-PBE optimized geometry; total magnetic moment = 1.55 μB/f.u.; raw total energy = -4.230 eV per atom; calculated formation energy = 9 meV per atom; ρ = 7.7 Mg/m³
1.0
-1.934 1.269 -1.722
-1.469 -2.476 -0.174
-4.309 2.108 6.396
Mn Hg Al
1 1 2
direct
0.500 0.500 0.750 Mn
0.500 0.500 0.250 Hg
0.000 0.000 0.939 Al
0.000 0.000 0.561 Al